K2TlBr: relaxed, GGA-PBE.

```
data_K2TlBr
_chemical_formula_sum 'K2 Tl1 Br1'
_space_group_name_H-M_alt 'P 1'
_space_group_IT_number 1
_cell_length_a 6.491
_cell_length_b 6.491
_cell_length_c 6.491
_cell_angle_alpha 130.17
_cell_angle_beta 130.17
_cell_angle_gamma 73.13
loop_
_space_group_symop_operation_xyz
'x,y,z'
loop_
_atom_site_label
_atom_site_type_symbol
_atom_site_fract_x
_atom_site_fract_y
_atom_site_fract_z
_atom_site_occupancy
K1 K 0.000 0.000 0.000 1
K2 K 0.500 0.500 0.000 1
Br1 Br 0.750 0.250 0.500 1
Tl1 Tl 0.250 0.750 0.500 1
```

**Density of states at the Fermi level**: 2.922 states/eV/cell
**Energy relative to the elements, uncorrected**: -52.2 kJ/mol of atoms
**Total DFT energy (no corrections)**: -2.10 eV per atom